{"formula": "Pr3Sm5Bi8", "functional": "PBE", "state": "relaxed", "magnetic_moment_mub_per_atom": 0.000, "ef_ev_per_atom": -0.937, "vol_a3_per_atom": 34.20, "lattice": [[7.967, 0.000, 4.563], [2.676, 7.504, 4.563], [0.031, 0.022, 9.181]], "species": ["Pr", "Pr", "Pr", "Sm", "Sm", "Sm", "Sm", "Sm", "Bi", "Bi", "Bi", "Bi", "Bi", "Bi", "Bi", "Bi"], "fractional_positions": [[0.500, 0.000, 0.500], [0.000, 0.000, 0.500], [0.000, 0.500, 0.500], [0.500, 0.000, 0.000], [0.500, 0.500, 0.000], [0.000, 0.000, 0.000], [0.000, 0.500, 0.000], [0.500, 0.500, 0.500], [0.250, 0.250, 0.753], [0.250, 0.747, 0.753], [0.747, 0.250, 0.753], [0.748, 0.748, 0.755], [0.750, 0.750, 0.247], [0.750, 0.253, 0.247], [0.253, 0.750, 0.247], [0.252, 0.252, 0.245]]}